First-principles (PBE-GGA) data for crystalline Mg6ZnCuO8 at its relaxed geometry, as listed in Alexandria via LeMat-Bulk.

Formation energy (no corrections) = -2.24 eV per atom
Density = 4.31 Mg/m³
Fermi-level density of states = 0.12 states/eV/atom
ΔE to the lowest computed polymorph = 0.0079 eV per atom
SG = No. 123

Unit cell a=4.2679 b=4.2679 c=8.5229 alpha=90.00 beta=90.00 gamma=90.00
Last column: magnetic moment on the atom in μB.
Atoms (fractional coordinates):
Mg  0.0000  0.0000  0.5000  0.00
Mg  0.5000  0.5000  0.5000  0.00
Mg  0.0000  0.5000  0.2480  0.00
Mg  0.0000  0.5000  0.7520  0.00
Mg  0.5000  0.0000  0.2480  0.00
Mg  0.5000  0.0000  0.7520  0.00
Zn  0.0000  0.0000  0.0000  0.00
Cu  0.5000  0.5000  0.0000  0.37
O  0.0000  0.0000  0.2527  0.00
O  0.0000  0.0000  0.7473  0.00
O  0.5000  0.5000  0.2514  0.06
O  0.5000  0.5000  0.7486  0.06
O  0.0000  0.5000  0.0000  0.04
O  0.0000  0.5000  0.5000  0.01
O  0.5000  0.0000  0.0000  0.04
O  0.5000  0.0000  0.5000  0.01